# 1
First-principles (PBE) data for a relaxed BaSr8Ca2 crystal, as listed in the Alexandria database.

Properties
final energy: -1.675 eV per atom
ΔH_f (0 K): 2.0 kcal/mol of atoms
energy above the most stable polymorph in this dataset: 0.00 eV per formula unit
total moment: 0.000 μB per atom

Cell lengths 7.443, 7.787, 11.110 Å; angles 110.52, 89.43, 90.00 degrees
Fractional coordinates of all 11 atoms:
Ba 0.000 0.000 0.000
Sr 0.088 0.409 0.818
Sr 0.912 0.591 0.182
Sr 0.582 0.656 0.813
Sr 0.117 0.794 0.588
Sr 0.418 0.844 0.187
Sr 0.418 0.344 0.187
Sr 0.883 0.206 0.412
Sr 0.582 0.156 0.813
Ca 0.614 0.743 0.487
Ca 0.386 0.257 0.513

---

# 2
First-principles (PBE) data for a relaxed BaSrCa crystal, as listed in the Alexandria database.

Properties
final energy: -1.511 eV per atom
ΔH_f (0 K): 8.2 kcal/mol of atoms
energy above the most stable polymorph in this dataset: 1.00 eV per formula unit
total moment: 0.000 μB per atom

Cell lengths 6.542, 6.542, 6.542 Å; angles 60.00, 60.00, 60.00 degrees
Fractional coordinates of all 3 atoms:
Ba 0.500 0.500 0.500
Ca 0.750 0.750 0.750
Sr 0.000 0.000 0.000

---

# 3
First-principles (PBE) data for a relaxed Ba4Sr2Ca3 crystal, as listed in the Alexandria database.

Properties
final energy: -1.868 eV per atom
ΔH_f (0 K): 0.6 kcal/mol of atoms
energy above the most stable polymorph in this dataset: 0.00 eV per formula unit
total moment: 0.000 μB per atom

Cell lengths 4.733, 10.713, 10.383 Å; angles 108.73, 103.17, 90.00 degrees
Fractional coordinates of all 9 atoms:
Ba 0.450 0.668 0.900
Ba 0.550 0.332 0.100
Ba 0.776 0.676 0.553
Ba 0.224 0.324 0.447
Ca 0.888 0.337 0.777
Ca 0.112 0.663 0.223
Ca 0.000 0.000 0.000
Sr 0.339 0.019 0.679
Sr 0.661 0.981 0.321

---

# 4
First-principles (PBE) data for a relaxed Ba6Sr2Ca5 crystal, as listed in the Alexandria database.

Properties
final energy: -1.836 eV per atom
ΔH_f (0 K): 1.9 kcal/mol of atoms
total moment: 0.000 μB per atom

Cell lengths 4.150, 13.983, 24.193 Å; angles 90.00, 90.00, 90.00 degrees
Fractional coordinates of all 26 atoms:
Ca 0.500 0.590 0.274
Ca 0.500 0.215 0.953
Ca 0.500 0.000 0.500
Ca 0.500 0.285 0.453
Ca 0.500 0.090 0.226
Ca 0.500 0.500 0.000
Ca 0.500 0.410 0.726
Ca 0.500 0.910 0.774
Ca 0.500 0.715 0.547
Ca 0.500 0.785 0.047
Ba 0.000 0.545 0.420
Ba 0.000 0.955 0.920
Ba 0.000 0.922 0.635
Ba 0.000 0.578 0.135
Ba 0.500 0.189 0.624
Ba 0.500 0.689 0.876
Ba 0.000 0.078 0.365
Ba 0.500 0.311 0.124
Ba 0.000 0.045 0.080
Ba 0.500 0.811 0.376
Ba 0.000 0.422 0.865
Ba 0.000 0.455 0.580
Sr 0.000 0.163 0.788
Sr 0.000 0.337 0.288
Sr 0.000 0.837 0.212
Sr 0.000 0.663 0.712

---

# 5
First-principles (PBE) data for a relaxed BaSr4Ca7 crystal, as listed in the Alexandria database.

Properties
final energy: -1.725 eV per atom
ΔH_f (0 K): 3.8 kcal/mol of atoms
total moment: 0.000 μB per atom

Cell lengths 6.787, 13.184, 7.711 Å; angles 84.53, 63.89, 75.08 degrees
Fractional coordinates of all 12 atoms:
Ca 0.038 0.622 0.302
Ca 0.352 0.526 0.770
Ca 0.648 0.474 0.230
Ca 0.500 0.000 0.000
Ca 0.962 0.378 0.698
Ca 0.212 0.078 0.498
Ca 0.788 0.922 0.502
Sr 0.288 0.300 0.125
Sr 0.379 0.779 0.463
Sr 0.712 0.700 0.875
Sr 0.621 0.221 0.537
Ba 0.000 0.000 0.000

---

# 6
First-principles (PBE) data for a relaxed BaSr9Ca4 crystal, as listed in the Alexandria database.

Properties
final energy: -1.713 eV per atom
ΔH_f (0 K): 1.8 kcal/mol of atoms
total moment: 0.096 μB per atom

Cell lengths 12.232, 11.857, 11.857 Å; angles 120.00, 90.00, 90.00 degrees
Fractional coordinates of all 28 atoms:
Ca 0.000 0.000 0.000
Ca 0.750 0.892 0.785
Ca 0.750 0.892 0.108
Ca 0.250 0.108 0.215
Ca 0.750 0.215 0.108
Ca 0.250 0.108 0.892
Ca 0.250 0.785 0.892
Ca 0.500 0.000 0.000
Ba 0.250 0.667 0.333
Ba 0.750 0.333 0.667
Sr 0.456 0.804 0.196
Sr 0.044 0.804 0.196
Sr 0.250 0.459 0.541
Sr 0.956 0.608 0.804
Sr 0.250 0.082 0.541
Sr 0.750 0.541 0.082
Sr 0.044 0.804 0.608
Sr 0.750 0.918 0.459
Sr 0.544 0.196 0.392
Sr 0.544 0.608 0.804
Sr 0.544 0.196 0.804
Sr 0.250 0.459 0.918
Sr 0.956 0.196 0.392
Sr 0.750 0.541 0.459
Sr 0.956 0.196 0.804
Sr 0.456 0.392 0.196
Sr 0.044 0.392 0.196
Sr 0.456 0.804 0.608

---

# 7
First-principles (PBE) data for a relaxed BaSrCa2 crystal, as listed in the Alexandria database.

Properties
final energy: -1.868 eV per atom
ΔH_f (0 K): 0.8 kcal/mol of atoms
energy above the most stable polymorph in this dataset: 0.10 eV per formula unit
total moment: 0.000 μB per atom

Cell lengths 6.402, 3.997, 7.884 Å; angles 77.48, 90.00, 90.00 degrees
Fractional coordinates of all 4 atoms:
Ca 0.000 0.497 0.497
Ca 0.000 0.003 0.003
Sr 0.500 0.250 0.250
Ba 0.500 0.750 0.750

---

# 8
First-principles (PBE) data for a relaxed BaSr12Ca7 crystal, as listed in the Alexandria database.

Properties
final energy: -1.633 eV per atom
ΔH_f (0 K): 4.0 kcal/mol of atoms
total moment: 0.000 μB per atom

Cell lengths 13.121, 13.121, 13.121 Å; angles 116.49, 116.49, 116.49 degrees
Fractional coordinates of all 20 atoms:
Sr 0.448 0.482 0.129
Sr 0.129 0.448 0.482
Sr 0.585 0.138 0.962
Sr 0.038 0.415 0.862
Sr 0.552 0.518 0.871
Sr 0.138 0.962 0.585
Sr 0.482 0.129 0.448
Sr 0.962 0.585 0.138
Sr 0.518 0.871 0.552
Sr 0.415 0.862 0.038
Sr 0.871 0.552 0.518
Sr 0.862 0.038 0.415
Ca 0.500 0.500 0.500
Ca 0.905 0.965 0.682
Ca 0.095 0.035 0.318
Ca 0.682 0.905 0.965
Ca 0.318 0.095 0.035
Ca 0.035 0.318 0.095
Ca 0.965 0.682 0.905
Ba 0.000 0.000 0.000

---

# 9
First-principles (PBE) data for a relaxed Ba5Sr2Ca5 crystal, as listed in the Alexandria database.

Properties
final energy: -1.803 eV per atom
ΔH_f (0 K): 2.6 kcal/mol of atoms
energy above the most stable polymorph in this dataset: 0.99 eV per formula unit
total moment: 0.000 μB per atom

Cell lengths 7.636, 9.951, 14.080 Å; angles 113.96, 72.20, 137.12 degrees
Fractional coordinates of all 12 atoms:
Ca 0.525 0.142 0.796
Ca 0.212 0.396 0.269
Ca 0.788 0.604 0.731
Ca 0.475 0.858 0.204
Ca 0.000 0.000 0.000
Ba 0.741 0.468 0.420
Ba 0.259 0.532 0.580
Ba 0.283 0.695 0.902
Ba 0.717 0.305 0.098
Ba 0.500 0.000 0.500
Sr 0.985 0.916 0.306
Sr 0.015 0.084 0.694

---

# 10
First-principles (PBE) data for a relaxed Ba3Sr6Ca2 crystal, as listed in the Alexandria database.

Properties
final energy: -1.750 eV per atom
ΔH_f (0 K): 1.3 kcal/mol of atoms
energy above the most stable polymorph in this dataset: 0.00 eV per formula unit
total moment: 0.000 μB per atom

Cell lengths 4.110, 14.110, 10.645 Å; angles 89.12, 101.13, 90.00 degrees
Fractional coordinates of all 11 atoms:
Sr 0.405 0.036 0.810
Sr 0.318 0.615 0.636
Sr 0.595 0.964 0.190
Sr 0.682 0.385 0.364
Sr 0.039 0.213 0.078
Sr 0.961 0.787 0.922
Ba 0.362 0.321 0.724
Ba 0.638 0.679 0.276
Ba 0.000 0.500 0.000
Ca 0.776 0.878 0.552
Ca 0.224 0.122 0.448

---

# 11
First-principles (PBE) data for a relaxed BaSrCa2 crystal, as listed in the Alexandria database.

Properties
final energy: -1.857 eV per atom
ΔH_f (0 K): 1.0 kcal/mol of atoms
energy above the most stable polymorph in this dataset: 0.15 eV per formula unit
total moment: 0.000 μB per atom

Cell lengths 13.660, 13.660, 13.660 Å; angles 17.37, 17.37, 17.37 degrees
Fractional coordinates of all 4 atoms:
Ba 0.750 0.750 0.750
Ca 0.501 0.501 0.501
Ca 0.999 0.999 0.999
Sr 0.250 0.250 0.250

---

# 12
First-principles (PBE) data for a relaxed BaSr4Ca4 crystal, as listed in the Alexandria database.

Properties
final energy: -1.636 eV per atom
ΔH_f (0 K): 4.9 kcal/mol of atoms
energy above the most stable polymorph in this dataset: 1.76 eV per formula unit
total moment: 0.000 μB per atom

Cell lengths 8.408, 8.408, 14.015 Å; angles 90.00, 90.00, 90.00 degrees
Fractional coordinates of all 18 atoms:
Ba 0.500 0.500 0.500
Ba 0.000 0.000 0.000
Ca 0.000 0.736 0.727
Ca 0.764 0.500 0.227
Ca 0.264 0.000 0.273
Ca 0.500 0.236 0.773
Ca 0.000 0.264 0.727
Ca 0.500 0.764 0.773
Ca 0.736 0.000 0.273
Ca 0.236 0.500 0.227
Sr 0.223 0.500 0.932
Sr 0.000 0.277 0.432
Sr 0.777 0.500 0.932
Sr 0.000 0.723 0.432
Sr 0.500 0.223 0.068
Sr 0.500 0.777 0.068
Sr 0.277 0.000 0.568
Sr 0.723 0.000 0.568

---

# 13
First-principles (PBE) data for a relaxed BaSr3Ca9 crystal, as listed in the Alexandria database.

Properties
final energy: -1.868 eV per atom
ΔH_f (0 K): 1.2 kcal/mol of atoms
total moment: 0.000 μB per atom

Cell lengths 9.996, 9.996, 13.935 Å; angles 95.70, 95.70, 61.64 degrees
Fractional coordinates of all 26 atoms:
Sr 0.991 0.216 0.188
Sr 0.216 0.991 0.688
Sr 0.700 0.022 0.100
Sr 0.586 0.495 0.251
Sr 0.022 0.700 0.600
Sr 0.495 0.586 0.751
Ca 0.700 0.545 0.520
Ca 0.380 0.433 0.986
Ca 0.791 0.256 0.924
Ca 0.447 0.947 0.268
Ca 0.079 0.809 0.885
Ca 0.947 0.447 0.768
Ca 0.368 0.285 0.731
Ca 0.256 0.791 0.424
Ca 0.433 0.380 0.486
Ca 0.784 0.161 0.658
Ca 0.809 0.079 0.385
Ca 0.956 0.564 0.033
Ca 0.285 0.368 0.231
Ca 0.888 0.666 0.312
Ca 0.545 0.700 0.020
Ca 0.564 0.956 0.533
Ca 0.161 0.784 0.158
Ca 0.666 0.888 0.812
Ba 0.113 0.254 0.467
Ba 0.254 0.113 0.967

---

# 14
First-principles (PBE) data for a relaxed Ba3Sr6Ca2 crystal, as listed in the Alexandria database.

Properties
final energy: -1.635 eV per atom
ΔH_f (0 K): 3.9 kcal/mol of atoms
energy above the most stable polymorph in this dataset: 1.27 eV per formula unit
total moment: 0.016 μB per atom

Cell lengths 5.733, 5.733, 20.100 Å; angles 98.20, 98.20, 90.00 degrees
Fractional coordinates of all 11 atoms:
Sr 0.387 0.887 0.773
Sr 0.687 0.687 0.375
Sr 0.887 0.387 0.773
Sr 0.113 0.613 0.227
Sr 0.613 0.113 0.227
Sr 0.313 0.313 0.625
Ba 0.206 0.206 0.412
Ba 0.000 0.000 0.000
Ba 0.794 0.794 0.588
Ca 0.454 0.454 0.909
Ca 0.546 0.546 0.091

---

# 15
First-principles (PBE) data for a relaxed Ba2Sr3Ca3 crystal, as listed in the Alexandria database.

Properties
final energy: -1.839 eV per atom
ΔH_f (0 K): 0.5 kcal/mol of atoms
energy above the most stable polymorph in this dataset: 0.00 eV per formula unit
total moment: 0.000 μB per atom

Cell lengths 5.981, 5.962, 11.705 Å; angles 90.00, 90.00, 90.00 degrees
Fractional coordinates of all 8 atoms:
Ca 0.500 0.000 0.500
Ca 0.000 0.500 0.500
Ca 0.000 0.500 0.000
Ba 0.000 0.000 0.256
Ba 0.000 0.000 0.744
Sr 0.500 0.500 0.743
Sr 0.500 0.500 0.257
Sr 0.500 0.000 0.000

---

# 16
First-principles (PBE) data for a relaxed Ba5Sr2Ca2 crystal, as listed in the Alexandria database.

Properties
final energy: -1.732 eV per atom
ΔH_f (0 K): 3.6 kcal/mol of atoms
energy above the most stable polymorph in this dataset: 1.21 eV per formula unit
total moment: 0.002 μB per atom

Cell lengths 12.505, 9.522, 11.844 Å; angles 113.70, 121.86, 90.00 degrees
Fractional coordinates of all 18 atoms:
Sr 0.116 0.685 0.253
Sr 0.884 0.431 0.747
Sr 0.363 0.931 0.747
Sr 0.637 0.185 0.253
Ca 0.276 0.460 0.500
Ca 0.724 0.960 0.500
Ca 0.000 0.885 0.000
Ca 0.500 0.385 0.000
Ba 0.067 0.147 0.500
Ba 0.731 0.754 0.094
Ba 0.361 0.052 0.290
Ba 0.639 0.762 0.710
Ba 0.269 0.660 0.906
Ba 0.429 0.552 0.290
Ba 0.571 0.262 0.710
Ba 0.137 0.160 0.906
Ba 0.933 0.647 0.500
Ba 0.863 0.254 0.094

---

# 17
First-principles (PBE) data for a relaxed Ba4SrCa7 crystal, as listed in the Alexandria database.

Properties
final energy: -1.780 eV per atom
ΔH_f (0 K): 3.9 kcal/mol of atoms
energy above the most stable polymorph in this dataset: 0.00 eV per formula unit
total moment: 0.000 μB per atom

Cell lengths 6.846, 13.644, 7.717 Å; angles 87.51, 63.67, 75.47 degrees
Fractional coordinates of all 12 atoms:
Ca 0.352 0.524 0.771
Ca 0.034 0.616 0.315
Ca 0.966 0.384 0.685
Ca 0.648 0.476 0.229
Ca 0.794 0.920 0.492
Ca 0.500 0.000 0.000
Ca 0.206 0.080 0.508
Ba 0.359 0.782 0.500
Ba 0.641 0.218 0.500
Ba 0.302 0.295 0.101
Ba 0.698 0.705 0.899
Sr 0.000 0.000 0.000

---

# 18
First-principles (PBE) data for a relaxed BaSrCa14 crystal, as listed in the Alexandria database.

Properties
final energy: -1.960 eV per atom
ΔH_f (0 K): 0.4 kcal/mol of atoms
total moment: 0.000 μB per atom

Cell lengths 7.904, 7.904, 12.993 Å; angles 90.00, 90.00, 120.17 degrees
Fractional coordinates of all 16 atoms:
Ca 0.210 0.790 0.000
Ca 0.541 0.959 0.500
Ca 0.710 0.290 0.000
Ca 0.374 0.626 0.249
Ca 0.377 0.125 0.243
Ca 0.374 0.626 0.751
Ca 0.377 0.125 0.757
Ca 0.875 0.623 0.757
Ca 0.041 0.459 0.500
Ca 0.873 0.127 0.247
Ca 0.209 0.292 0.000
Ca 0.873 0.127 0.753
Ca 0.708 0.791 0.000
Ca 0.875 0.623 0.243
Sr 0.542 0.458 0.500
Ba 0.041 0.959 0.500